VASP calculation (PBE with a Hubbard U) on HoFe4Cu3O12 after structural relaxation.

## Properties
The magnetization is 0.989 μB/atom. The theoretical density is 6.19 g/cm3. As for the total energy: -6.28 eV/atom.

Structure (CIF):
```
data_HoFe4Cu3O12
_chemical_formula_sum 'Ho2 Fe8 Cu6 O24'
_symmetry_space_group_name_H-M 'I m -3'
_symmetry_Int_Tables_number 204
_symmetry_space_group_name_Hall '-I 2 2 3'
_cell_length_a 7.452
_cell_length_b 7.452
_cell_length_c 7.452
_cell_angle_alpha 90.00
_cell_angle_beta 90.00
_cell_angle_gamma 90.00
loop_
_atom_site_label
_atom_site_type_symbol
_atom_site_fract_x
_atom_site_fract_y
_atom_site_fract_z
Ho1 Ho 0.000 0.000 0.000
Fe1 Fe 0.250 0.250 0.250
Cu1 Cu 0.000 0.000 0.500
O1 O 0.000 0.307 0.164
```